No. 1
The following is a DFT calculation (GGA-PBE) of an optimized crystal structure of TbNbGa.

Values from the calculation:
- spin magnetization (μB/cell) = 0.025
- energy relative to the lowest polymorph listed for this composition (meV per atom) = 0

Lattice parameters (Å, degrees): 4.629 4.629 4.629 60.00 60.00 60.00
Positions (direct):
1 Ga 0.000 0.000 0.000
2 Nb 0.250 0.250 0.250
3 Tb 0.750 0.750 0.750

=====

No. 2
The following is a DFT calculation (GGA-PBE) of an optimized crystal structure of GdTlOs.

Values from the calculation:
- spin magnetization (μB/cell) = 0.014
- energy relative to the lowest polymorph listed for this composition (meV per atom) = 174

Lattice parameters (Å, degrees): 4.802 4.802 4.802 60.00 60.00 60.00
Positions (direct):
1 Gd 0.000 0.000 0.000
2 Os 0.250 0.250 0.250
3 Tl 0.750 0.750 0.750

=====

No. 3
The following is a DFT calculation (GGA-PBE) of an optimized crystal structure of KBeReOs.

Values from the calculation:
- spin magnetization (μB/cell) = 0.000
- energy relative to the lowest polymorph listed for this composition (meV per atom) = 0

Lattice parameters (Å, degrees): 4.440 4.440 4.440 60.00 60.00 60.00
Positions (direct):
1 Be 0.750 0.750 0.750
2 K 0.500 0.500 0.500
3 Os 0.000 0.000 0.000
4 Re 0.250 0.250 0.250

=====

No. 4
The following is a DFT calculation (GGA-PBE) of an optimized crystal structure of BeSiAg.

Values from the calculation:
- total energy (eV per atom) = -3.63

Lattice parameters (Å, degrees): 4.041 4.041 4.041 60.00 60.00 60.00
Positions (direct):
1 Ag 0.250 0.250 0.250
2 Be 0.750 0.750 0.750
3 Si 0.000 0.000 0.000

=====

No. 5
The following is a DFT calculation (GGA-PBE) of an optimized crystal structure of Co5Re.

Values from the calculation:
- spin magnetization (μB/cell) = 17.559
- energy relative to the lowest polymorph listed for this composition (meV per atom) = 121
- E_form (kcal/mol of atoms) = 7.019

Lattice parameters (Å, degrees): 4.596 4.596 15.546 90.00 90.00 120.00
Each line ends with the local moment (μB).
Positions (direct):
1 Co 0.500 0.000 0.000  1.24
2 Co 0.000 0.500 0.000  0.93
3 Co 0.500 0.500 0.000  1.40
4 Co 0.000 0.000 0.085  1.42
5 Co 0.667 0.333 0.148  1.25
6 Co 0.159 0.318 0.250  0.11
7 Co 0.159 0.841 0.250  0.15
8 Co 0.682 0.841 0.250  0.14
9 Co 0.667 0.333 0.352  1.25
10 Co 0.000 0.000 0.415  1.42
11 Co 0.500 0.000 0.500  1.24
12 Co 0.000 0.500 0.500  0.94
13 Co 0.500 0.500 0.500  1.41
14 Co 0.000 0.000 0.585  1.42
15 Co 0.333 0.667 0.648  1.25
16 Co 0.318 0.159 0.750  0.14
17 Co 0.841 0.159 0.750  0.15
18 Co 0.841 0.682 0.750  0.11
19 Co 0.333 0.667 0.852  1.25
20 Co 0.000 0.000 0.915  1.42
21 Re 0.333 0.667 0.130  -0.20
22 Re 0.333 0.667 0.370  -0.20
23 Re 0.667 0.333 0.630  -0.20
24 Re 0.667 0.333 0.870  -0.20

=====

No. 6
The following is a DFT calculation (GGA-PBE) of an optimized crystal structure of SmTlPd.

Values from the calculation:
- spin magnetization (μB/cell) = 0.526
- energy relative to the lowest polymorph listed for this composition (meV per atom) = 126

Lattice parameters (Å, degrees): 4.811 4.811 4.811 60.00 60.00 60.00
Each line ends with the local moment (μB).
Positions (direct):
1 Pd 0.000 0.000 0.000  0.06
2 Sm 0.250 0.250 0.250  0.13
3 Tl 0.750 0.750 0.750  0.07

=====

No. 7
The following is a DFT calculation (GGA-PBE) of an optimized crystal structure of Lu2SiO5.

Values from the calculation:
- spin magnetization (μB/cell) = 0.001
- energy relative to the lowest polymorph listed for this composition (meV per atom) = 0

Lattice parameters (Å, degrees): 6.594 7.852 9.320 71.31 110.71 114.84
Positions (direct):
1 Lu 0.708 0.892 0.035
2 Lu 0.233 0.557 0.164
3 Lu 0.514 0.943 0.336
4 Lu 0.780 0.607 0.465
5 Lu 0.220 0.393 0.535
6 Lu 0.487 0.057 0.664
7 Lu 0.766 0.443 0.836
8 Lu 0.292 0.107 0.965
9 O 0.868 0.541 0.057
10 O 0.382 0.862 0.101
11 O 0.084 0.039 0.137
12 O 0.552 0.226 0.175
13 O 0.588 0.584 0.179
14 O 0.826 0.915 0.322
15 O 0.150 0.274 0.325
16 O 0.909 0.461 0.363
17 O 0.419 0.638 0.399
18 O 0.272 0.961 0.442
19 O 0.729 0.040 0.558
20 O 0.581 0.362 0.601
21 O 0.092 0.539 0.637
22 O 0.849 0.726 0.675
23 O 0.175 0.084 0.679
24 O 0.412 0.415 0.822
25 O 0.448 0.774 0.825
26 O 0.915 0.960 0.863
27 O 0.618 0.138 0.899
28 O 0.131 0.461 0.942
29 Si 0.725 0.443 0.192
30 Si 0.090 0.058 0.308
31 Si 0.910 0.942 0.692
32 Si 0.275 0.558 0.808

=====

No. 8
The following is a DFT calculation (GGA-PBE) of an optimized crystal structure of CoNiBi2.

Values from the calculation:
- spin magnetization (μB/cell) = 1.851
- energy relative to the lowest polymorph listed for this composition (meV per atom) = 0

Lattice parameters (Å, degrees): 4.898 4.898 4.898 60.00 60.00 60.00
Positions (direct):
1 Bi 0.500 0.500 0.500
2 Bi 0.750 0.750 0.750
3 Co 0.250 0.250 0.250
4 Ni 0.000 0.000 0.000